(1)
Ac8Te4Pt3Rh: relaxed, PBE-GGA. Values from VASP.

Structure (Quantum ESPRESSO input):
```
&SYSTEM
  ibrav = 0, nat = 16, ntyp = 4
/
ATOMIC_SPECIES
Ac 227.00 Ac.upf
Te 127.60 Te.upf
Pt 195.08 Pt.upf
Rh 102.91 Rh.upf
CELL_PARAMETERS angstrom
4.4429 2.5651 8.0586
-4.4429 2.5651 8.0586
0.0000 -5.1302 8.0586
ATOMIC_POSITIONS crystal
Ac 0.2375 0.2375 0.2375
Ac 0.2420 0.7351 0.7351
Ac 0.2649 0.2649 0.7580
Ac 0.2649 0.7580 0.2649
Ac 0.7351 0.2420 0.7351
Ac 0.7351 0.7351 0.2420
Ac 0.7580 0.2649 0.2649
Ac 0.7625 0.7625 0.7625
Te 0.0000 0.0000 0.0000
Te 0.0000 0.5000 0.5000
Te 0.5000 0.0000 0.5000
Te 0.5000 0.5000 0.0000
Pt 0.0000 0.0000 0.5000
Pt 0.0000 0.5000 0.0000
Pt 0.5000 0.0000 0.0000
Rh 0.5000 0.5000 0.5000
```

Computed properties:
Its calculated volume is 34.44 Å³/atom. The calculation puts the formation energy without anion corrections at -1.30 eV per atom. As for the density of states at the Fermi level: 0.6371 states/eV/atom. As for the symmetry: No. 166.

(2)
Ac6TePt2Rh3: relaxed, PBE-GGA. Values from VASP.

Structure (Quantum ESPRESSO input):
```
&SYSTEM
  ibrav = 0, nat = 12, ntyp = 4
/
ATOMIC_SPECIES
Ac 227.00 Ac.upf
Te 127.60 Te.upf
Pt 195.08 Pt.upf
Rh 102.91 Rh.upf
CELL_PARAMETERS angstrom
9.6914 -2.1911 0.0000
9.6914 2.1911 0.0000
-2.2573 0.0000 8.6629
ATOMIC_POSITIONS crystal
Ac 0.0026 0.0026 0.2225
Ac 0.3220 0.3220 0.4162
Ac 0.3316 0.3316 0.9147
Ac 0.6684 0.6684 0.0853
Ac 0.6780 0.6780 0.5838
Ac 0.9974 0.9974 0.7775
Te 0.5000 0.5000 0.5000
Pt 0.1664 0.1664 0.8321
Pt 0.8336 0.8336 0.1679
Rh 0.1642 0.1642 0.3276
Rh 0.5000 0.5000 0.0000
Rh 0.8358 0.8358 0.6724
```

Computed properties:
Its calculated volume is 30.66 Å³/atom. The calculation puts the formation energy without anion corrections at -0.92 eV per atom. As for the density of states at the Fermi level: 0.4093 states/eV/atom. As for the symmetry: No. 12.